Record 1
Computed, not measured: a relaxed structure of Hf6Co2N at the GGA-PBE level of DFT.

Summary:
ΔE_f (raw): -0.619 eV/atom

Unit cell a=5.7384 b=6.2350 c=10.3662 alpha=90.00 beta=121.80 gamma=90.00
With the nearest neighbours (Å) after each atom.
Fractional coordinates of all 18 atoms:
Hf: 0.1070 0.0311 0.2438  1 N 2.27, 1 Co 2.54
Hf: 0.1070 0.4689 0.7438  1 N 2.27, 1 Co 2.54
Hf: 0.2374 0.6834 0.0605  1 N 2.29
Hf: 0.2374 0.8166 0.5605  1 N 2.29
Hf: 0.3788 0.1818 0.0626  1 N 2.22
Hf: 0.3788 0.3182 0.5626  1 N 2.22
Hf: 0.6212 0.6818 0.4374  1 N 2.22
Hf: 0.6212 0.8182 0.9374  1 N 2.22
Hf: 0.7626 0.1834 0.4395  1 N 2.29
Hf: 0.7626 0.3166 0.9395  1 N 2.29
Hf: 0.8930 0.5311 0.2562  1 N 2.27, 1 Co 2.54
Hf: 0.8930 0.9689 0.7562  1 N 2.27, 1 Co 2.54
Co: 0.3136 0.1043 0.7561  6 Hf 2.52-2.62
Co: 0.3136 0.3957 0.2561  6 Hf 2.52-2.62
Co: 0.6864 0.6043 0.7439  6 Hf 2.52-2.62
Co: 0.6864 0.8957 0.2439  6 Hf 2.52-2.62
N: 0.0000 0.0000 0.0000  6 Hf 2.22-2.29
N: 0.0000 0.5000 0.5000  6 Hf 2.22-2.29

=====

Record 2
Computed, not measured: a relaxed structure of Hf12Co6N at the GGA-PBE level of DFT.

Summary:
ΔE_f (raw): -0.234 eV/atom

Unit cell a=7.1645 b=7.1645 c=7.1645 alpha=98.15 beta=98.15 gamma=98.15
With the nearest neighbours (Å) after each atom.
Fractional coordinates of all 19 atoms:
Hf: 0.0305 0.6899 0.9204  1 N 2.26, 1 Co 2.52
Hf: 0.0796 0.9696 0.3101  1 N 2.26, 1 Co 2.52
Hf: 0.1795 0.4174 0.5757  3 Co 2.42-2.66
Hf: 0.3101 0.0796 0.9695  1 N 2.26, 1 Co 2.52
Hf: 0.4174 0.5757 0.1795  3 Co 2.42-2.66
Hf: 0.4243 0.8205 0.5826  3 Co 2.42-2.66
Hf: 0.5757 0.1795 0.4174  3 Co 2.42-2.66
Hf: 0.5826 0.4243 0.8205  3 Co 2.42-2.66
Hf: 0.6899 0.9204 0.0305  1 N 2.26, 1 Co 2.52
Hf: 0.8205 0.5826 0.4243  3 Co 2.42-2.66
Hf: 0.9204 0.0305 0.6899  1 N 2.26, 1 Co 2.52
Hf: 0.9695 0.3101 0.0796  1 N 2.26, 1 Co 2.52
Co: 0.1276 0.6268 0.3008  5 Hf 2.42-2.66
Co: 0.3008 0.1276 0.6268  5 Hf 2.42-2.66
Co: 0.3732 0.6992 0.8724  5 Hf 2.42-2.66
Co: 0.6268 0.3008 0.1276  5 Hf 2.42-2.66
Co: 0.6992 0.8724 0.3732  5 Hf 2.42-2.66
Co: 0.8724 0.3732 0.6992  5 Hf 2.42-2.66
N: 0.0000 0.0000 0.0000  6 Hf 2.26

=====

Number 1: density of states at the Fermi level 15.265 states/eV per cell, total energy -175.7 eV per cell, volume 158 Å³/f.u.. Number 2: density of states at the Fermi level 17.161 states/eV per cell, total energy -174.9 eV per cell, volume 355 Å³/f.u..